The following is a DFT calculation (PBE-GGA) of Y4AgAu after structural relaxation.

a = 5.0123 Å, b = 5.0123 Å, c = 7.0773 Å
α = 90.00°, β = 90.00°, γ = 90.00°
Fractional coordinates of all 6 atoms:
Y 0.0000 0.5000 0.2452
Y 0.0000 0.5000 0.7548
Y 0.5000 0.0000 0.2452
Y 0.5000 0.0000 0.7548
Ag 0.0000 0.0000 0.5000
Au 0.5000 0.5000 0.0000

Summary:
Space group = No. 123

=====

The following is a DFT calculation (PBE-GGA) of CaBeSn after structural relaxation.

a = 4.3867 Å, b = 4.3868 Å, c = 6.9558 Å
α = 90.00°, β = 90.03°, γ = 90.00°
Fractional coordinates of all 6 atoms:
Ca 0.2503 0.2500 0.1931
Ca 0.7497 0.7500 0.8069
Be 0.2513 0.7500 0.5000
Be 0.7487 0.2500 0.5000
Sn 0.2487 0.2500 0.7092
Sn 0.7513 0.7500 0.2908

Summary:
Space group = No. 11

=====

The following is a DFT calculation (PBE-GGA) of DyCdPtAu after structural relaxation.

a = 4.8699 Å, b = 4.8699 Å, c = 4.8699 Å
α = 60.00°, β = 60.00°, γ = 60.00°
Fractional coordinates of all 4 atoms:
Dy 0.0000 0.0000 0.0000
Cd 0.5000 0.5000 0.5000
Pt 0.7500 0.7500 0.7500
Au 0.2500 0.2500 0.2500

Summary:
Space group = No. 216

=====

The following is a DFT calculation (PBE-GGA) of MgBeCrOs after structural relaxation.

a = 4.1442 Å, b = 4.1442 Å, c = 4.1442 Å
α = 60.00°, β = 60.00°, γ = 60.00°
Fractional coordinates of all 4 atoms:
Mg 0.0000 0.0000 0.0000
Be 0.2500 0.2500 0.2500
Cr 0.7500 0.7500 0.7500
Os 0.5000 0.5000 0.5000

Summary:
Space group = No. 216

=====

Here are the calculated E_form numbers, same order: -212 -270 -748 48 (meV/atom).